DFT (PBE+U) results for a relaxed InGa2MoO6 crystal. Values from VASP.

The structure in Quantum ESPRESSO input format:
```
&SYSTEM
  ibrav = 0, nat = 20, ntyp = 4
/
ATOMIC_SPECIES
In 114.82 In.upf
Ga 69.72 Ga.upf
Mo 95.94 Mo.upf
O 16.00 O.upf
ATOMIC_POSITIONS angstrom
In 4.200 3.803 4.111
In 4.682 -3.803 1.370
Ga 2.389 0.842 3.832
Ga 2.871 -0.842 1.091
Ga 6.011 0.842 4.390
Ga 6.493 -0.842 1.649
Mo 4.682 2.105 1.370
Mo 4.200 -2.105 4.111
O 0.519 0.874 3.456
O 2.922 2.267 4.861
O 1.001 -0.874 0.716
O 3.192 0.693 2.129
O 5.478 2.267 3.361
O 2.710 -0.693 4.870
O 6.173 0.693 0.611
O 3.404 -2.267 2.120
O 5.691 -0.693 3.351
O 7.881 0.874 4.765
O 5.960 -2.267 0.620
O 8.363 -0.874 2.025
CELL_PARAMETERS angstrom
4.923 -4.695 0.000
4.923 4.695 0.000
-0.964 0.000 5.481
```

Values from the calculation:
Energy ... -6.295 eV per atom
Crystal system ... monoclinic
Total magnetic moment ... 6.00 Bohr magnetons per cell